Below is an optimized crystal structure of MgSn3Ru, with properties calculated at the PBE level.

E above lowest polymorph: 1.181 eV/f.u.
formation enthalpy at 0 K: 0.1660 eV per atom
ρ: 5.846 g/cm³
SG: No. 221
total energy: -4.410 eV/atom

Lattice parameters (Å, degrees): 5.1522 5.1522 5.1522 90.00 90.00 90.00
With the nearest neighbours (Å) after each atom.
Fractional coordinates of all 5 atoms:
Ru 0.0000 0.0000 0.0000  6 Sn 2.58
Mg 0.5000 0.5000 0.5000  12 Sn 3.64
Sn 0.0000 0.5000 0.0000  2 Ru 2.58
Sn 0.0000 0.0000 0.5000  2 Ru 2.58
Sn 0.5000 0.0000 0.0000  2 Ru 2.58

***

Below is an optimized crystal structure of Ac6TlRu2I3, with properties calculated at the PBE level.

formation energy (no corrections): -8.679 eV per formula unit
ρ: 7.824 g/cm³
SG: No. 12
total energy: -4.908 eV/atom

Lattice parameters (Å, degrees): 7.8081 7.8081 9.0250 98.35 98.35 119.97
With the nearest neighbours (Å) after each atom.
Fractional coordinates of all 12 atoms:
Ac 0.9359 0.5661 0.8090  2 Ru 2.97, 1 Tl 3.33
Ac 0.6941 0.6941 0.1899  2 Ru 2.97, 1 Tl 3.32
Ac 0.0641 0.4339 0.1910  2 Ru 2.97, 1 Tl 3.33
Ac 0.5661 0.9359 0.8090  2 Ru 2.97, 1 Tl 3.33
Ac 0.3059 0.3059 0.8101  2 Ru 2.97, 1 Tl 3.32
Ac 0.4339 0.0641 0.1910  2 Ru 2.97, 1 Tl 3.33
Tl 0.0000 0.0000 0.0000  6 Ac 3.32-3.33
Ru 0.3331 0.6669 0.0000  6 Ac 2.97
Ru 0.6669 0.3331 0.0000  6 Ac 2.97
I 0.1616 0.8384 0.5000  6 Ac 3.57-3.85
I 0.8384 0.1616 0.5000  6 Ac 3.57-3.85
I 0.5000 0.5000 0.5000  6 Ac 3.55-3.83